No. 1
A relaxed structure of CaReAs2Pt. Source: Alexandria via LeMat-Bulk, functional GGA-PBE.

a b c (Å): 4.7829 5.0859 4.7829
angles (deg): 90.00 90.00 90.00
Closest atoms and distances in Å follow each position.
Element x y z (fractional)
Re: 0.0000 0.0000 0.0000  4 As 2.39, 2 Pt 2.54
As: 0.0000 0.0000 0.5000  2 Re 2.39
As: 0.5000 0.0000 0.0000  2 Re 2.39
Ca: 0.5000 0.5000 0.5000  4 Pt 3.38, 8 As 3.49
Pt: 0.0000 0.5000 0.0000  2 Re 2.54

Computed properties:
Size of the total moment: 0.00 μB/f.u.
ΔH_f (0 K): -8 meV per atom
Energy: -5.966 eV per atom
SG: P4/mmm (123)
Calculated density: 8.15 g/cm3

No. 2
A relaxed structure of CaAs2PtRh. Source: Alexandria via LeMat-Bulk, functional GGA-PBE.

a b c (Å): 5.1382 4.6226 5.1382
angles (deg): 90.00 90.00 90.00
Closest atoms and distances in Å follow each position.
Element x y z (fractional)
As: 0.0000 0.0000 0.5000  2 Ca 2.57
As: 0.5000 0.0000 0.0000  2 Ca 2.57
Rh: 0.0000 0.5000 0.0000  2 Ca 2.31
Ca: 0.0000 0.0000 0.0000  2 Rh 2.31, 4 As 2.57
Pt: 0.5000 0.5000 0.5000  8 As 3.46, 4 Rh 3.63

Computed properties:
Size of the total moment: 0.02 μB/f.u.
ΔH_f (0 K): 1371 meV per atom
Energy: -3.567 eV per atom
SG: P4/mmm (123)
Calculated density: 6.64 g/cm3

No. 3
A relaxed structure of CaAs2PtRh2. Source: Alexandria via LeMat-Bulk, functional GGA-PBE.

a b c (Å): 4.0951 5.0497 12.2143
angles (deg): 90.00 90.00 90.00
Closest atoms and distances in Å follow each position.
Element x y z (fractional)
Ca: 0.5000 0.5000 0.0000  2 Rh 2.96, 4 Pt 3.25
Ca: 0.0000 0.0000 0.5000  2 Rh 2.96, 4 Pt 3.25
As: 0.5000 0.6776 0.3140  3 Rh 2.34-2.39, 1 Pt 2.44
As: 0.5000 0.3224 0.6860  3 Rh 2.34-2.39, 1 Pt 2.44
As: 0.0000 0.8224 0.8140  3 Rh 2.34-2.39, 1 Pt 2.44
As: 0.0000 0.1776 0.1860  3 Rh 2.34-2.39, 1 Pt 2.44
Pt: 0.0000 0.0000 0.0000  2 As 2.44
Pt: 0.5000 0.5000 0.5000  2 As 2.44
Rh: 0.5000 0.9444 0.1574  3 As 2.34-2.39
Rh: 0.0000 0.4444 0.3426  3 As 2.34-2.39
Rh: 0.5000 0.0556 0.8426  3 As 2.34-2.39
Rh: 0.0000 0.5556 0.6574  3 As 2.34-2.39

Computed properties:
Size of the total moment: 0.00 μB/f.u.
ΔH_f (0 K): -476 meV per atom
Energy: -5.817 eV per atom
SG: Pnnm (58)
Calculated density: 7.77 g/cm3

No. 4
A relaxed structure of Ca2As4PtRh3. Source: Alexandria via LeMat-Bulk, functional GGA-PBE.

a b c (Å): 4.3013 4.3013 10.0872
angles (deg): 90.00 90.00 90.00
Closest atoms and distances in Å follow each position.
Element x y z (fractional)
Ca: 0.5000 0.0000 0.2448  8 As 3.27, 6 Rh 3.28-3.35, 2 Pt 3.35
Ca: 0.0000 0.5000 0.7552  8 As 3.27, 6 Rh 3.28-3.35, 2 Pt 3.35
As: 0.5000 0.5000 0.0000  4 Rh 2.49
As: 0.0000 0.0000 0.0000  4 Rh 2.49
As: 0.5000 0.0000 0.6369  3 Rh 2.42-2.56, 2 Pt 2.56
As: 0.0000 0.5000 0.3631  3 Rh 2.42-2.56, 2 Pt 2.56
Pt: 0.5000 0.5000 0.5000  4 As 2.56
Rh: 0.0000 0.0000 0.5000  4 As 2.56
Rh: 0.5000 0.0000 0.8765  5 As 2.42-2.49
Rh: 0.0000 0.5000 0.1235  5 As 2.42-2.49

Computed properties:
Size of the total moment: 0.00 μB/f.u.
ΔH_f (0 K): -740 meV per atom
Energy: -5.810 eV per atom
SG: P-4m2 (115)
Calculated density: 7.86 g/cm3

No. 5
A relaxed structure of Ca2As4Pt3Rh. Source: Alexandria via LeMat-Bulk, functional GGA-PBE.

a b c (Å): 4.2377 4.2377 10.6947
angles (deg): 90.00 90.00 90.00
Closest atoms and distances in Å follow each position.
Element x y z (fractional)
Ca: 0.5000 0.0000 0.2577  8 As 3.21-3.48, 6 Pt 3.26-3.35, 2 Rh 3.35
Ca: 0.0000 0.5000 0.7423  8 As 3.21-3.48, 6 Pt 3.26-3.35, 2 Rh 3.35
As: 0.5000 0.5000 0.0000  4 Pt 2.58
As: 0.0000 0.0000 0.0000  4 Pt 2.58
As: 0.5000 0.0000 0.6352  3 Pt 2.43-2.57, 2 Rh 2.57
As: 0.0000 0.5000 0.3648  3 Pt 2.43-2.57, 2 Rh 2.57
Pt: 0.0000 0.0000 0.5000  4 As 2.57
Pt: 0.5000 0.0000 0.8623  5 As 2.43-2.58
Pt: 0.0000 0.5000 0.1377  5 As 2.43-2.58
Rh: 0.5000 0.5000 0.5000  4 As 2.57

Computed properties:
Size of the total moment: 0.00 μB/f.u.
ΔH_f (0 K): -743 meV per atom
Energy: -5.550 eV per atom
SG: P-4m2 (115)
Calculated density: 9.23 g/cm3

No. 6
A relaxed structure of Ca2SbAs3Pt4. Source: Alexandria via LeMat-Bulk, functional GGA-PBE.

a b c (Å): 4.4084 4.4084 10.5636
angles (deg): 90.00 90.00 90.00
Closest atoms and distances in Å follow each position.
Element x y z (fractional)
Ca: 0.5000 0.0000 0.2315  8 Pt 3.29-3.39, 6 As 3.30-3.59, 2 Sb 3.59
Ca: 0.0000 0.5000 0.7685  8 Pt 3.29-3.39, 6 As 3.30-3.59, 2 Sb 3.59
Sb: 0.5000 0.5000 0.5000  4 Pt 2.66
As: 0.0000 0.0000 0.5000  4 Pt 2.66
As: 0.5000 0.0000 0.8719  5 Pt 2.43-2.59
As: 0.0000 0.5000 0.1281  5 Pt 2.43-2.59
Pt: 0.5000 0.5000 0.0000  4 As 2.59
Pt: 0.0000 0.0000 0.0000  4 As 2.59
Pt: 0.5000 0.0000 0.6415  3 As 2.43-2.66, 2 Sb 2.66
Pt: 0.0000 0.5000 0.3585  3 As 2.43-2.66, 2 Sb 2.66

Computed properties:
Size of the total moment: 0.00 μB/f.u.
Formation energy (no corrections): -7.070 eV/f.u.
Energy: -5.331 eV per atom
SG: P-4m2 (115)
Calculated density: 9.76 g/cm3

No. 7
A relaxed structure of CaAs2PtSe. Source: Alexandria via LeMat-Bulk, functional GGA-PBE.

a b c (Å): 4.8425 4.8425 5.4351
angles (deg): 90.00 90.00 90.00
Closest atoms and distances in Å follow each position.
Element x y z (fractional)
As: 0.0000 0.5000 0.0000  2 Pt 2.42
As: 0.5000 0.0000 0.0000  2 Pt 2.42
Ca: 0.5000 0.5000 0.5000  4 Se 3.42, 8 As 3.64
Se: 0.0000 0.0000 0.5000  2 Pt 2.72
Pt: 0.0000 0.0000 0.0000  4 As 2.42

Computed properties:
Size of the total moment: 0.00 μB/f.u.
Energy above the lowest structure with this stoichiometry: 0 meV per atom
Formation energy (no corrections): -0.929 eV/f.u.
Energy: -4.351 eV per atom
SG: P4/mmm (123)
Calculated density: 6.04 g/cm3

No. 8
A relaxed structure of CaAs2PtSe. Source: Alexandria via LeMat-Bulk, functional GGA-PBE.

a b c (Å): 5.2843 5.2843 5.1649
angles (deg): 90.00 90.00 90.00
Closest atoms and distances in Å follow each position.
Element x y z (fractional)
As: 0.0000 0.5000 0.0000  2 Ca 2.64
As: 0.5000 0.0000 0.0000  2 Ca 2.64
Ca: 0.0000 0.0000 0.0000  2 Se 2.58, 4 As 2.64
Se: 0.0000 0.0000 0.5000  2 Ca 2.58
Pt: 0.5000 0.5000 0.5000  8 As 3.69, 4 Se 3.74

Computed properties:
Size of the total moment: 0.00 μB/f.u.
Energy above the lowest structure with this stoichiometry: 1258 meV per atom
Formation energy (no corrections): 5.363 eV/f.u.
Energy: -3.093 eV per atom
SG: P4/mmm (123)
Calculated density: 5.34 g/cm3

No. 9
A relaxed structure of CaAsPtSe2. Source: Alexandria via LeMat-Bulk, functional GGA-PBE.

a b c (Å): 5.3240 5.3240 4.5856
angles (deg): 90.00 90.00 90.00
Closest atoms and distances in Å follow each position.
Element x y z (fractional)
As: 0.0000 0.0000 0.5000  2 Pt 2.29
Ca: 0.5000 0.5000 0.5000  8 Se 3.51, 4 As 3.76
Se: 0.0000 0.5000 0.0000  2 Pt 2.66
Se: 0.5000 0.0000 0.0000  2 Pt 2.66
Pt: 0.0000 0.0000 0.0000  2 As 2.29

Computed properties:
Size of the total moment: 0.00 μB/f.u.
Energy above the lowest structure with this stoichiometry: 0 meV per atom
Formation energy (no corrections): -1.859 eV/f.u.
Energy: -4.304 eV per atom
SG: P4/mmm (123)
Calculated density: 5.98 g/cm3

No. 10
A relaxed structure of CaAsPtSe2. Source: Alexandria via LeMat-Bulk, functional GGA-PBE.

a b c (Å): 5.2472 5.2472 5.3455
angles (deg): 90.00 90.00 90.00
Closest atoms and distances in Å follow each position.
Element x y z (fractional)
As: 0.0000 0.0000 0.5000  2 Ca 2.67
Ca: 0.0000 0.0000 0.0000  4 Se 2.62, 2 As 2.67
Se: 0.0000 0.5000 0.0000  2 Ca 2.62
Se: 0.5000 0.0000 0.0000  2 Ca 2.62
Pt: 0.5000 0.5000 0.5000  4 As 3.71, 8 Se 3.75

Computed properties:
Size of the total moment: 0.00 μB/f.u.
Energy above the lowest structure with this stoichiometry: 1264 meV per atom
Formation energy (no corrections): 4.459 eV/f.u.
Energy: -3.040 eV per atom
SG: P4/mmm (123)
Calculated density: 5.28 g/cm3

No. 11
A relaxed structure of Ca3SiAs2Pt9. Source: Alexandria via LeMat-Bulk, functional GGA-PBE.

a b c (Å): 6.5979 6.5979 8.3427
angles (deg): 90.00 90.00 120.00
Closest atoms and distances in Å follow each position.
Element x y z (fractional)
Ca: 0.3333 0.6667 0.6877  9 Pt 3.23-3.32
Ca: 0.0000 0.0000 0.0000  6 Pt 2.87
Ca: 0.6667 0.3333 0.3123  9 Pt 3.23-3.32
Si: 0.0000 0.0000 0.5000  6 Pt 2.38
As: 0.3333 0.6667 0.1985  6 Pt 2.35-2.52
As: 0.6667 0.3333 0.8015  6 Pt 2.35-2.52
Pt: 0.8618 0.1382 0.7133  1 As 2.35, 1 Si 2.38
Pt: 0.8618 0.7236 0.7133  1 As 2.35, 1 Si 2.38
Pt: 0.2764 0.1382 0.7133  1 As 2.35, 1 Si 2.38
Pt: 0.7236 0.8618 0.2867  1 As 2.35, 1 Si 2.38
Pt: 0.1382 0.2764 0.2867  1 As 2.35, 1 Si 2.38
Pt: 0.1382 0.8618 0.2867  1 As 2.35, 1 Si 2.38
Pt: 0.5000 0.0000 0.0000  2 As 2.52
Pt: 0.0000 0.5000 0.0000  2 As 2.52
Pt: 0.5000 0.5000 0.0000  2 As 2.52

Computed properties:
Size of the total moment: 0.00 μB/f.u.
Formation energy (no corrections): -8.379 eV/f.u.
Energy: -5.565 eV per atom
SG: P-3m1 (164)
Calculated density: 10.84 g/cm3

No. 12
A relaxed structure of Ca2SiAsPt. Source: Alexandria via LeMat-Bulk, functional GGA-PBE.

a b c (Å): 5.5705 4.3841 5.5705
angles (deg): 90.00 90.00 90.00
Closest atoms and distances in Å follow each position.
Element x y z (fractional)
As: 0.5000 0.5000 0.5000  8 Ca 3.54, 4 Pt 3.94
Si: 0.0000 0.0000 0.0000  2 Pt 2.19
Ca: 0.0000 0.0000 0.5000  2 Si 2.79
Ca: 0.5000 0.0000 0.0000  2 Si 2.79
Pt: 0.0000 0.5000 0.0000  2 Si 2.19

Computed properties:
Size of the total moment: 0.00 μB/f.u.
Energy above the lowest structure with this stoichiometry: 0 meV per atom
Formation energy (no corrections): -1.590 eV/f.u.
Energy: -4.341 eV per atom
SG: P4/mmm (123)
Calculated density: 4.62 g/cm3

What is the calculated density in the tenth record?
5.28 g/cm3